# K2ZrZnS4

Crystalline K2ZrZnS4 at its relaxed geometry (PBE, Alexandria via LeMat-Bulk).

## Properties
- V: 29.4 Å³ per atom
- SG: I-4 (82)
- Energy: -4.793 eV/atom
- Raw formation energy: -1.227 eV per atom
- Fermi-level density of states: 0.00 states/eV/atom

```
16
Lattice="6.9901 0.0000 0.0000 0.0000 6.9901 0.0000 0.0000 0.0000 9.6111" Properties=species:S:1:pos:R:3 pbc="T T T"
K 0.0000 0.0000 0.0000
K 0.0000 3.4950 2.4028
K 3.4950 0.0000 7.2083
K 3.4950 3.4950 4.8056
Zr 0.0000 3.4950 7.2083
Zr 3.4950 0.0000 2.4028
Zn 0.0000 0.0000 4.8056
Zn 3.4950 3.4950 0.0000
S 1.1132 5.2429 5.9471
S 1.7472 1.1132 3.6640
S 1.7479 2.3819 8.4696
S 2.3819 5.2422 1.1415
S 4.6082 1.7479 1.1415
S 5.2422 4.6082 8.4696
S 5.2429 5.8769 3.6640
S 5.8769 1.7472 5.9471
```